In2HgF: relaxed, GGA-PBE.

Summary:
The crystal system is cubic. For the size of the total moment, the calculation gives 0.00 μB per cell. For the raw total energy, the calculation gives -2.5509 eV per atom. The energy above the most stable polymorph in this dataset comes out at 88 meV per atom.

Lattice parameters (Å, degrees): 5.0188 5.0188 5.0188 60.00 60.00 60.00
Atoms (fractional coordinates):
In 0.2500 0.2500 0.2500
In 0.7500 0.7500 0.7500
Hg 0.0000 0.0000 0.0000
F 0.5000 0.5000 0.5000